## Nd6GeAs3Se2 (PBE-GGA)

Data for crystalline Nd6GeAs3Se2 at its relaxed geometry.

Geometry as extended XYZ:
```
12
Lattice="9.300 -2.132 0.000 9.300 2.132 0.000 -1.955 0.000 8.329" Properties=species:S:1:pos:R:3 pbc="T T T"
Nd -0.475 0.000 2.101
Nd 5.395 0.000 3.524
Nd 4.475 0.000 7.582
Nd 12.170 0.000 0.747
Nd 11.250 0.000 4.806
Nd 17.120 0.000 6.229
Ge 8.322 0.000 4.165
As 2.477 0.000 2.771
As 9.300 0.000 0.000
As 14.168 0.000 5.558
Se 1.489 0.000 6.967
Se 15.156 0.000 1.362
```

ΔE_f (raw) ... -1.563 eV per atom
Space-group type ... No. 12
Total magnetization ... 0.0 μB per formula unit
Mass density ... 6.639 g cm⁻³
Crystal system ... monoclinic

=====

## TcIr6W (PBE-GGA)

Data for crystalline TcIr6W at its relaxed geometry.

Geometry as extended XYZ:
```
8
Lattice="5.491 0.000 0.000 0.000 5.491 0.000 0.000 0.000 3.882" Properties=species:S:1:pos:R:3 pbc="T T T"
Tc 0.000 0.000 0.000
Ir 0.000 2.745 0.000
Ir 1.370 1.370 1.941
Ir 1.370 4.121 1.941
Ir 2.745 0.000 0.000
Ir 4.121 1.370 1.941
Ir 4.121 4.121 1.941
W 2.745 2.745 0.000
```

Energy relative to the elements ... -1.544 eV per formula unit
Space-group type ... No. 123
Total magnetization ... 0.0 μB per formula unit
Mass density ... 20.358 g cm⁻³
Crystal system ... tetragonal

=====

## Re2SiRh2 (PBE-GGA)

Data for crystalline Re2SiRh2 at its relaxed geometry.

Geometry as extended XYZ:
```
5
Lattice="-1.741 1.741 6.689 1.741 -1.741 6.689 1.741 1.741 -6.689" Properties=species:S:1:pos:R:3 pbc="T T T"
Re 1.741 0.000 3.344
Re 0.000 1.741 3.344
Si 0.000 0.000 0.000
Rh 0.000 0.000 5.406
Rh 0.000 0.000 7.972
```

ΔE_f (raw) ... 0.346 eV per atom
Space-group type ... No. 139
Total magnetization ... 0.0 μB per formula unit
Mass density ... 12.422 g cm⁻³
E above lowest polymorph ... 0.00 eV per formula unit
Crystal system ... tetragonal

=====

Number 1: raw total energy -72.9 eV/cell. Number 2: raw total energy -78.0 eV/cell. Number 3: raw total energy -43.3 eV/cell.